Entry 1:
Crystalline BaLi2Ir at its relaxed geometry. Source: Alexandria, functional GGA-PBEsol.

The structure in CIF format:
```
data_BaLi2Ir
_chemical_formula_sum 'Ba2 Li4 Ir2'
_cell_length_a 5.927
_cell_length_b 9.670
_cell_length_c 3.386
_cell_angle_alpha 90.00
_cell_angle_beta 120.56
_cell_angle_gamma 90.00
_space_group_name_H-M_alt 'C 1 2/m 1'
_space_group_IT_number 12
_space_group_name_Hall '-C 2y'
loop_
_atom_site_label
_atom_site_type_symbol
_atom_site_fract_x
_atom_site_fract_y
_atom_site_fract_z
Ba1 Ba 0.000 0.000 0.000
Li1 Li 0.250 0.250 0.500
Ir1 Ir 0.000 0.500 0.000
```

Summary:
- Formation energy from the elements: 368 meV per atom
- Distance to the lowest polymorph of the same formula: 212 meV per atom
- E_tot: -28.87 eV/cell
- Size of the total moment: 0.000 μB per atom

---

Entry 2:
Crystalline AlPPb2 at its relaxed geometry. Source: Alexandria, functional GGA-PBEsol.

The structure in CIF format:
```
data_AlPPb2
_chemical_formula_sum 'Al2 P2 Pb4'
_cell_length_a 4.680
_cell_length_b 4.680
_cell_length_c 8.509
_cell_angle_alpha 90.00
_cell_angle_beta 90.00
_cell_angle_gamma 90.00
_space_group_name_H-M_alt 'I 4/m m m'
_space_group_IT_number 139
_space_group_name_Hall '-I 4 2'
loop_
_atom_site_label
_atom_site_type_symbol
_atom_site_fract_x
_atom_site_fract_y
_atom_site_fract_z
Al1 Al 0.000 0.000 0.000
P1 P 0.000 0.000 0.500
Pb1 Pb 0.000 0.500 0.250
```

Summary:
- Formation energy from the elements: 341 meV per atom
- Distance to the lowest polymorph of the same formula: 347 meV per atom
- E_tot: -33.03 eV/cell
- Size of the total moment: 0.000 μB per atom

---

Entry 3:
Crystalline ZrAs4Pb at its relaxed geometry. Source: Alexandria, functional GGA-PBEsol.

The structure in CIF format:
```
data_ZrAs4Pb
_chemical_formula_sum 'Zr4 As16 Pb4'
_cell_length_a 7.863
_cell_length_b 7.863
_cell_length_c 7.863
_cell_angle_alpha 90.00
_cell_angle_beta 90.00
_cell_angle_gamma 90.00
_space_group_name_H-M_alt 'F -4 3 m'
_space_group_IT_number 216
_space_group_name_Hall 'F -4 2 3'
loop_
_atom_site_label
_atom_site_type_symbol
_atom_site_fract_x
_atom_site_fract_y
_atom_site_fract_z
Zr1 Zr 0.000 0.000 0.000
As1 As 0.126 0.126 0.374
Pb1 Pb 0.250 0.250 0.750
```

Summary:
- Formation energy from the elements: 95 meV per atom
- E_tot: -131.79 eV/cell
- Size of the total moment: 0.000 μB per atom

---

Entry 4:
Crystalline FeNiPt2 at its relaxed geometry. Source: Alexandria, functional GGA-PBEsol.

The structure in CIF format:
```
data_FeNiPt2
_chemical_formula_sum 'Fe1 Ni1 Pt2'
_cell_length_a 2.669
_cell_length_b 3.682
_cell_length_c 5.367
_cell_angle_alpha 90.00
_cell_angle_beta 90.00
_cell_angle_gamma 90.00
_space_group_name_H-M_alt 'P m m 2'
_space_group_IT_number 25
_space_group_name_Hall 'P 2 -2'
loop_
_atom_site_label
_atom_site_type_symbol
_atom_site_fract_x
_atom_site_fract_y
_atom_site_fract_z
Fe1 Fe 0.000 0.000 0.000
Ni1 Ni 0.500 0.500 0.234
Pt1 Pt 0.000 0.000 0.469
Pt2 Pt 0.500 0.500 0.757
```

Summary:
- Formation energy from the elements: -113 meV per atom
- E_tot: -29.50 eV/cell
- Size of the total moment: 1.061 μB per atom

---

Entry 5:
Crystalline ZrTc2Sb at its relaxed geometry. Source: Alexandria, functional GGA-PBEsol.

The structure in CIF format:
```
data_ZrTc2Sb
_chemical_formula_sum 'Zr1 Tc2 Sb1'
_cell_length_a 3.065
_cell_length_b 4.532
_cell_length_c 5.114
_cell_angle_alpha 90.00
_cell_angle_beta 91.41
_cell_angle_gamma 90.00
_space_group_name_H-M_alt 'P 1 2/m 1'
_space_group_IT_number 10
_space_group_name_Hall '-P 2y'
loop_
_atom_site_label
_atom_site_type_symbol
_atom_site_fract_x
_atom_site_fract_y
_atom_site_fract_z
Zr1 Zr 0.000 0.000 0.000
Tc1 Tc 0.340 0.500 0.773
Sb1 Sb 0.500 0.000 0.500
```

Summary:
- Uncorrected formation energy: 55 meV/atom
- E_tot: -35.96 eV/cell
- Size of the total moment: 0.000 μB per atom

---

Entry 6:
Crystalline CsNaGe2 at its relaxed geometry. Source: Alexandria, functional GGA-PBEsol.

The structure in CIF format:
```
data_CsNaGe2
_chemical_formula_sum 'Cs8 Na8 Ge16'
_cell_length_a 8.392
_cell_length_b 9.626
_cell_length_c 13.195
_cell_angle_alpha 90.00
_cell_angle_beta 111.35
_cell_angle_gamma 90.00
_space_group_name_H-M_alt 'P 1 21/c 1'
_space_group_IT_number 14
_space_group_name_Hall '-P 2ybc'
loop_
_atom_site_label
_atom_site_type_symbol
_atom_site_fract_x
_atom_site_fract_y
_atom_site_fract_z
Cs1 Cs 0.013 0.025 0.278
Cs2 Cs 0.153 0.203 0.035
Na1 Na 0.449 0.535 0.314
Na2 Na 0.450 0.603 0.898
Ge1 Ge 0.258 0.598 0.056
Ge2 Ge 0.279 0.690 0.672
Ge3 Ge 0.310 0.661 0.488
Ge4 Ge 0.444 0.222 0.355
```

Summary:
- Formation energy from the elements: -209 meV per atom
- E_tot: -104.46 eV/cell
- Size of the total moment: 0.000 μB per atom

---

Entry 7:
Crystalline InOs2Au at its relaxed geometry. Source: Alexandria, functional GGA-PBEsol.

The structure in CIF format:
```
data_InOs2Au
_chemical_formula_sum 'In1 Os2 Au1'
_cell_length_a 3.964
_cell_length_b 3.964
_cell_length_c 4.041
_cell_angle_alpha 90.00
_cell_angle_beta 90.00
_cell_angle_gamma 90.00
_space_group_name_H-M_alt 'P 4/m m m'
_space_group_IT_number 123
_space_group_name_Hall '-P 4 2'
loop_
_atom_site_label
_atom_site_type_symbol
_atom_site_fract_x
_atom_site_fract_y
_atom_site_fract_z
In1 In 0.000 0.000 0.000
Os1 Os 0.000 0.500 0.500
Au1 Au 0.500 0.500 0.000
```

Summary:
- Formation energy from the elements: 676 meV per atom
- E_tot: -28.64 eV/cell
- Size of the total moment: 0.000 μB per atom

---

Entry 8:
Crystalline KLiCd4 at its relaxed geometry. Source: Alexandria, functional GGA-PBEsol.

The structure in CIF format:
```
data_KLiCd4
_chemical_formula_sum 'K4 Li4 Cd16'
_cell_length_a 8.392
_cell_length_b 8.392
_cell_length_c 8.392
_cell_angle_alpha 90.00
_cell_angle_beta 90.00
_cell_angle_gamma 90.00
_space_group_name_H-M_alt 'F -4 3 m'
_space_group_IT_number 216
_space_group_name_Hall 'F -4 2 3'
loop_
_atom_site_label
_atom_site_type_symbol
_atom_site_fract_x
_atom_site_fract_y
_atom_site_fract_z
K1 K 0.000 0.000 0.000
Li1 Li 0.250 0.250 0.750
Cd1 Cd 0.124 0.124 0.376
```

Summary:
- Formation energy from the elements: -70 meV per atom
- E_tot: -33.24 eV/cell
- Size of the total moment: 0.000 μB per atom

---

Entry 9:
Crystalline Cr2CdRu at its relaxed geometry. Source: Alexandria, functional GGA-PBEsol.

The structure in CIF format:
```
data_Cr2CdRu
_chemical_formula_sum 'Cr6 Cd3 Ru3'
_cell_length_a 2.6725
_cell_length_b 2.6725
_cell_length_c 26.6844
_cell_angle_alpha 90.00
_cell_angle_beta 90.00
_cell_angle_gamma 120.00
_space_group_name_H-M_alt 'R -3 m'
_space_group_IT_number 166
_space_group_name_Hall '-R 3 2"'
loop_
_atom_site_label
_atom_site_type_symbol
_atom_site_fract_x
_atom_site_fract_y
_atom_site_fract_z
Cr1 Cr 0.0000 0.0000 0.2429
Cd1 Cd 0.0000 0.0000 0.0000
Ru1 Ru 0.0000 0.0000 0.5000
```

Summary:
- Formation energy from the elements: 439 meV per atom
- E_tot: -90.29 eV/cell
- Size of the total moment: 0.000 μB per atom

---

Entry 10:
Crystalline AgSbOs at its relaxed geometry. Source: Alexandria, functional GGA-PBEsol.

The structure in CIF format:
```
data_AgSbOs
_chemical_formula_sum 'Ag4 Sb4 Os4'
_cell_length_a 6.177
_cell_length_b 6.177
_cell_length_c 6.177
_cell_angle_alpha 90.00
_cell_angle_beta 90.00
_cell_angle_gamma 90.00
_space_group_name_H-M_alt 'F -4 3 m'
_space_group_IT_number 216
_space_group_name_Hall 'F -4 2 3'
loop_
_atom_site_label
_atom_site_type_symbol
_atom_site_fract_x
_atom_site_fract_y
_atom_site_fract_z
Ag1 Ag 0.000 0.000 0.000
Sb1 Sb 0.000 0.000 0.500
Os1 Os 0.250 0.250 0.250
```

Summary:
- Uncorrected formation energy: 486 meV/atom
- Distance to the lowest polymorph of the same formula: 0 meV per atom
- E_tot: -74.51 eV/cell
- Size of the total moment: 0.000 μB per atom

---

Entry 11:
Crystalline HfZnCr2As at its relaxed geometry. Source: Alexandria, functional GGA-PBEsol.

The structure in CIF format:
```
data_HfZnCr2As
_chemical_formula_sum 'Hf1 Zn1 Cr2 As1'
_cell_length_a 4.409
_cell_length_b 4.409
_cell_length_c 4.476
_cell_angle_alpha 90.00
_cell_angle_beta 90.00
_cell_angle_gamma 90.00
_space_group_name_H-M_alt 'P 4/m m m'
_space_group_IT_number 123
_space_group_name_Hall '-P 4 2'
loop_
_atom_site_label
_atom_site_type_symbol
_atom_site_fract_x
_atom_site_fract_y
_atom_site_fract_z
Hf1 Hf 0.000 0.000 0.000
Zn1 Zn 0.500 0.500 0.000
Cr1 Cr 0.000 0.500 0.500
As1 As 0.500 0.500 0.500
```

Summary:
- Formation energy from the elements: 741 meV per atom
- E_tot: -33.97 eV/cell
- Size of the total moment: 0.663 μB per atom

---

Entry 12:
Crystalline Tc2MoAuN at its relaxed geometry. Source: Alexandria, functional GGA-PBEsol.

The structure in CIF format:
```
data_Tc2MoAuN
_chemical_formula_sum 'Tc2 Mo1 Au1 N1'
_cell_length_a 4.703
_cell_length_b 4.703
_cell_length_c 3.745
_cell_angle_alpha 90.00
_cell_angle_beta 90.00
_cell_angle_gamma 90.00
_space_group_name_H-M_alt 'P 4/m m m'
_space_group_IT_number 123
_space_group_name_Hall '-P 4 2'
loop_
_atom_site_label
_atom_site_type_symbol
_atom_site_fract_x
_atom_site_fract_y
_atom_site_fract_z
Tc1 Tc 0.000 0.500 0.000
Mo1 Mo 0.000 0.000 0.000
Au1 Au 0.500 0.500 0.500
N1 N 0.000 0.000 0.500
```

Summary:
- Uncorrected formation energy: 1512 meV/atom
- E_tot: -39.19 eV/cell
- Size of the total moment: 0.004 μB per atom

---

Q: Number 3 is which compound?
A: ZrAs4Pb

---

Repeat the fourth record exactly.
Crystalline FeNiPt2 at its relaxed geometry. Source: Alexandria, functional GGA-PBEsol.

The structure in CIF format:
```
data_FeNiPt2
_chemical_formula_sum 'Fe1 Ni1 Pt2'
_cell_length_a 2.669
_cell_length_b 3.682
_cell_length_c 5.367
_cell_angle_alpha 90.00
_cell_angle_beta 90.00
_cell_angle_gamma 90.00
_space_group_name_H-M_alt 'P m m 2'
_space_group_IT_number 25
_space_group_name_Hall 'P 2 -2'
loop_
_atom_site_label
_atom_site_type_symbol
_atom_site_fract_x
_atom_site_fract_y
_atom_site_fract_z
Fe1 Fe 0.000 0.000 0.000
Ni1 Ni 0.500 0.500 0.234
Pt1 Pt 0.000 0.000 0.469
Pt2 Pt 0.500 0.500 0.757
```

Summary:
- Formation energy from the elements: -113 meV per atom
- E_tot: -29.50 eV/cell
- Size of the total moment: 1.061 μB per atom

---

Q: Number 1 is which compound?
A: BaLi2Ir